The following is a GGA+U calculation of an optimized crystal structure of Cs2MgVF6, from the Alexandria database.

Values from the calculation:
**Space group**: I4/mmm (139)
**Total energy**: -0.1895 Ha/atom
**Density of states at the Fermi level**: 0.000 states/eV/f.u.

a b c (Å): 6.0815 6.0781 8.5887
angles (deg): 90.00 90.00 90.00
Sites, in units of the cell vectors:
1 Cs 0.5000 0.7500 0.2499
2 Cs 0.0000 0.2500 0.7499
3 Cs 0.5000 0.7500 0.7501
4 Cs 0.0000 0.2500 0.2501
5 Mg 0.5000 0.2500 0.5000
6 Mg 0.0000 0.7500 0.0000
7 V 0.0000 0.7500 0.5000
8 V 0.5000 0.2500 0.0000
9 F 0.5000 0.2500 0.2559
10 F 0.5000 0.2500 0.7441
11 F 0.0000 0.7500 0.2441
12 F 0.0000 0.7500 0.7559
13 F 0.2562 0.0060 0.5000
14 F 0.7438 0.0060 0.5000
15 F 0.2562 0.4940 0.5000
16 F 0.7438 0.4940 0.5000
17 F 0.7562 0.5060 0.0000
18 F 0.2438 0.5060 0.0000
19 F 0.2438 0.9940 0.0000
20 F 0.7562 0.9940 0.0000